Record 1
Compound: TaBeIr2
Source: the Alexandria database
Functional: GGA-PBE
Structure: relaxed

Output
**E_tot**: -8.743 eV/atom
**Density**: 17359 kg/m3
**Space group**: Immm
**Magnetization**: 0.000 μB per atom
**N(E_F)**: 2.87 states/eV/f.u.

abc: 4.9881 4.9881 4.5316
angles: 63.04 63.04 33.60
Closest atoms and distances in Å follow each position.
Positions (direct):
Ir  0.0349  0.0349  0.9651  2 Be 2.31
Be  0.7500  0.7500  0.7500  4 Ir 2.31
Ta  0.2500  0.2500  0.2500  4 Be 2.69, 8 Ir 2.80-2.90, 2 Ta 2.88
Ir  0.4651  0.4651  0.5349  2 Be 2.31

Record 2
Compound: TaBeIr2
Source: the Alexandria database
Functional: GGA-PBE
Structure: relaxed

Output
**E_tot**: -8.533 eV/atom
**Density**: 16918 kg/m3
**Space group**: Cmmm
**Magnetization**: 0.000 μB per atom
**N(E_F)**: 2.83 states/eV/f.u.

abc: 2.7602 2.7602 8.1051
angles: 90.00 90.00 114.08
Closest atoms and distances in Å follow each position.
Positions (direct):
Ta  0.5000  0.5000  0.2500  4 Ir 2.75, 6 Ta 2.76-3.00
Ir  0.0000  0.0000  0.9663  2 Be 2.31
Be  0.5000  0.5000  0.7500  4 Ir 2.31
Ir  0.0000  0.0000  0.5337  2 Be 2.31

Record 3
Compound: TaBeIr2
Source: the Alexandria database
Functional: GGA-PBE
Structure: relaxed

Output
**E_tot**: -8.936 eV/atom
**Density**: 17397 kg/m3
**Space group**: P4/mmm
**Magnetization**: 0.000 μB per atom
**N(E_F)**: 2.00 states/eV/f.u.

abc: 2.9133 2.9133 6.4599
angles: 90.00 90.00 90.00
Closest atoms and distances in Å follow each position.
Positions (direct):
Be  0.5000  0.5000  0.7500  8 Ir 2.49
Ir  0.0000  0.0000  0.9664  4 Be 2.49, 4 Ta 2.76
Ir  0.0000  0.0000  0.5336  4 Be 2.49, 4 Ta 2.76
Ta  0.5000  0.5000  0.2500  8 Ir 2.76, 4 Ta 2.91

Record 4
Compound: TaBeIr2
Source: the Alexandria database
Functional: GGA-PBE
Structure: relaxed

Output
**E_tot**: -8.613 eV/atom
**Density**: 17008 kg/m3
**Space group**: R-3m
**Magnetization**: 0.000 μB per atom
**N(E_F)**: 4.12 states/eV/f.u.

abc: 8.1119 8.1119 8.1119
angles: 20.27 20.27 20.27
Closest atoms and distances in Å follow each position.
Positions (direct):
Ta  0.2500  0.2500  0.2500  6 Ir 2.79, 6 Ta 2.86
Be  0.7500  0.7500  0.7500  6 Ir 2.38
Ir  0.4888  0.4888  0.4888  3 Be 2.38
Ir  0.0112  0.0112  0.0112  3 Be 2.38

Record 5
Compound: TaBeIr2
Source: the Alexandria database
Functional: GGA-PBE
Structure: relaxed

Output
**E_tot**: -8.700 eV/atom
**Density**: 16626 kg/m3
**Space group**: Pm
**Magnetization**: 0.000 μB per atom
**N(E_F)**: 2.00 states/eV/f.u.

abc: 4.0825 2.8260 5.1669
angles: 74.23 90.00 90.00
Closest atoms and distances in Å follow each position.
Positions (direct):
Be  0.5000  0.9160  0.7610  3 Ir 2.28-2.46
Ta  0.0000  0.5335  0.5091  7 Ir 2.60-2.83, 4 Be 2.77-2.79, 2 Ta 2.83
Ir  0.5000  0.1997  0.2661  1 Be 2.46, 2 Ta 2.70
Ir  0.0000  0.8507  0.9638  2 Be 2.28

Record 6
Compound: TaBe4Ir
Source: the Alexandria database
Functional: GGA-PBE
Structure: relaxed

Output
**E_tot**: -6.342 eV/atom
**Density**: 10809 kg/m3
**Space group**: F-43m
**Magnetization**: 0.000 μB per atom
**N(E_F)**: 4.00 states/eV/f.u.

abc: 4.4631 4.4631 4.4631
angles: 60.00 60.00 60.00
Closest atoms and distances in Å follow each position.
Positions (direct):
Be  0.1172  0.6276  0.6276  6 Be 2.19-2.28
Ir  0.2500  0.2500  0.2500  12 Be 2.62, 4 Ta 2.73
Be  0.6276  0.1172  0.6276  6 Be 2.19-2.28
Be  0.6276  0.6276  0.6276  6 Be 2.19-2.28
Ta  0.0000  0.0000  0.0000  12 Be 2.61, 4 Ir 2.73
Be  0.6276  0.6276  0.1172  6 Be 2.19-2.28

Record 7
Compound: TaBeIr2
Source: the Alexandria database
Functional: GGA-PBE
Structure: relaxed

Output
**E_tot**: -8.281 eV/atom
**Density**: 16463 kg/m3
**Space group**: Cmm2
**Magnetization**: 0.000 μB per atom
**N(E_F)**: 3.44 states/eV/f.u.

abc: 2.7437 2.7437 8.5768
angles: 90.00 90.00 116.19
Closest atoms and distances in Å follow each position.
Positions (direct):
Ir  0.0000  0.0000  0.9664  2 Be 2.25
Be  0.5000  0.5000  0.7657  2 Ir 2.25
Ta  0.0000  0.0000  0.5153  2 Be 2.59, 2 Ir 2.68, 6 Ta 2.74-2.90
Ir  0.5000  0.5000  0.2525  2 Ta 2.68, 8 Ir 2.74-2.90

Record 8
Compound: TaBeIr2
Source: the Alexandria database
Functional: GGA-PBE
Structure: relaxed

Output
**E_tot**: -8.461 eV/atom
**Density**: 16443 kg/m3
**Space group**: C2/m
**Magnetization**: 0.000 μB per atom
**N(E_F)**: 1.87 states/eV/f.u.

abc: 5.0854 5.0854 2.7683
angles: 75.89 75.89 114.72
Closest atoms and distances in Å follow each position.
Positions (direct):
Ir  0.5000  0.5000  0.0000  2 Ta 2.58, 2 Be 2.58, 6 Ir 2.74-2.88
Ta  0.5000  0.0000  0.5000  4 Ir 2.58, 4 Be 2.74-2.88, 2 Ta 2.77
Ir  0.0000  0.0000  0.0000  2 Be 2.58, 2 Ta 2.58, 6 Ir 2.74-2.88
Be  0.0000  0.5000  0.5000  4 Ir 2.58, 4 Ta 2.74-2.88, 2 Be 2.77

Record 9
Compound: TaBeIr2
Source: the Alexandria database
Functional: GGA-PBE
Structure: relaxed

Output
**E_tot**: -8.238 eV/atom
**Density**: 15131 kg/m3
**Space group**: I-42d
**Magnetization**: 0.000 μB per atom
**N(E_F)**: 3.94 states/eV/f.u.

abc: 3.8971 3.8971 8.7463
angles: 77.13 77.13 90.00
Closest atoms and distances in Å follow each position.
Positions (direct):
Be  0.5000  0.5000  0.0000  4 Ir 2.43
Ta  0.7500  0.2500  0.5000  4 Ir 2.57, 4 Be 2.76
Ir  0.5797  0.1250  0.2500  2 Be 2.43, 2 Ir 2.52, 2 Ta 2.57
Ir  0.1703  0.6250  0.2500  2 Be 2.43, 2 Ir 2.52, 2 Ta 2.57
Ir  0.8750  0.8297  0.7500  2 Be 2.43, 2 Ir 2.52, 2 Ta 2.57
Ta  0.0000  0.0000  0.0000  4 Ir 2.57, 4 Be 2.76
Be  0.2500  0.7500  0.5000  4 Ir 2.43
Ir  0.3750  0.4203  0.7500  2 Be 2.43, 2 Ir 2.52, 2 Ta 2.57

Record 10
Compound: TaBe8Ir3
Source: the Alexandria database
Functional: GGA-PBE
Structure: relaxed

Output
**E_tot**: -6.163 eV/atom
**Density**: 11215 kg/m3
**Space group**: P3m1
**Magnetization**: 0.000 μB per atom
**N(E_F)**: 4.68 states/eV/f.u.

abc: 4.4167 4.4167 7.2718
angles: 90.00 90.00 120.00
Closest atoms and distances in Å follow each position.
Positions (direct):
Ir  0.6667  0.3333  0.0709  12 Be 2.52-2.60, 4 Ir 2.80-2.81
Be  0.9953  0.4977  0.7637  6 Be 2.17-2.34
Be  0.5023  0.4977  0.7637  6 Be 2.17-2.34
Be  0.3333  0.6667  0.4962  6 Be 2.29-2.34
Be  0.3333  0.6667  0.0039  6 Be 2.13-2.17
Be  0.1637  0.8363  0.2368  6 Be 2.13-2.29
Be  0.5023  0.0047  0.7637  6 Be 2.17-2.34
Ir  0.0000  0.0000  0.9125  12 Be 2.46-2.67, 1 Ta 2.58
Be  0.1637  0.3275  0.2368  6 Be 2.13-2.29
Ta  0.0000  0.0000  0.5579  4 Ir 2.58-2.65, 12 Be 2.59-2.67
Ir  0.6667  0.3333  0.4573  12 Be 2.56-2.73, 3 Ta 2.65, 1 Ir 2.81
Be  0.6725  0.8363  0.2368  6 Be 2.13-2.29

Record 11
Compound: TaBeIr2
Source: the Alexandria database
Functional: GGA-PBE
Structure: relaxed

Output
**E_tot**: -8.769 eV/atom
**Density**: 16690 kg/m3
**Space group**: P4/mmm
**Magnetization**: 0.000 μB per atom
**N(E_F)**: 1.10 states/eV/f.u.

abc: 3.5150 4.0322 4.0322
angles: 90.00 90.00 90.00
Closest atoms and distances in Å follow each position.
Positions (direct):
Ir  0.0000  0.0000  0.0000  4 Ta 2.67, 4 Be 2.67, 4 Ir 2.85
Be  0.5000  0.0000  0.5000  8 Ir 2.67, 4 Ta 2.85
Ta  0.5000  0.5000  0.0000  8 Ir 2.67, 4 Be 2.85
Ir  0.0000  0.5000  0.5000  4 Ta 2.67, 4 Be 2.67, 4 Ir 2.85

Record 12
Compound: TbTaBeIr2
Source: the Alexandria database
Functional: GGA-PBE
Structure: relaxed

Output
**E_tot**: -8.173 eV/atom
**Density**: 13463 kg/m3
**Space group**: I-4m2
**Magnetization**: 0.000 μB per atom
**N(E_F)**: 2.70 states/eV/f.u.

abc: 3.9196 3.9196 6.5072
angles: 107.53 107.53 90.00
Closest atoms and distances in Å follow each position.
Positions (direct):
Ta  0.2500  0.7500  0.5000  4 Ir 2.52, 4 Be 2.77
Be  0.7500  0.2500  0.5000  4 Ir 2.52, 4 Ta 2.77
Ir  0.3852  0.3852  0.7704  2 Ta 2.52, 2 Be 2.52, 1 Ir 2.70
Tb  0.0000  0.0000  0.0000  8 Ir 3.08
Ir  0.6148  0.6148  0.2296  2 Ta 2.52, 2 Be 2.52, 1 Ir 2.70

Copy entry 1 word for word.
Compound: TaBeIr2
Source: the Alexandria database
Functional: GGA-PBE
Structure: relaxed

Output
**E_tot**: -8.743 eV/atom
**Density**: 17359 kg/m3
**Space group**: Immm
**Magnetization**: 0.000 μB per atom
**N(E_F)**: 2.87 states/eV/f.u.

abc: 4.9881 4.9881 4.5316
angles: 63.04 63.04 33.60
Closest atoms and distances in Å follow each position.
Positions (direct):
Ir  0.0349  0.0349  0.9651  2 Be 2.31
Be  0.7500  0.7500  0.7500  4 Ir 2.31
Ta  0.2500  0.2500  0.2500  4 Be 2.69, 8 Ir 2.80-2.90, 2 Ta 2.88
Ir  0.4651  0.4651  0.5349  2 Be 2.31